LiScMoO4: optimized geometry, PBE+U.

Cell: 6.284 6.290 8.791 Å, 90.00 90.00 90.00°
Space group Imma (No. 74)
One atom of each set of equivalent atoms:
Li  0.000  0.250  0.118 x4
Sc  0.000  0.000  0.500 x4
Mo  0.250  0.250  0.750 x4
O  0.000  0.025  0.742 x8
O  0.228  0.250  0.518 x8

The value obtained for the volume is 12.4 A^3/atom. The calculation puts the total moment at 2.00 μB per formula unit. Its density is 4.0 g/cm³. Its total energy is -208.31 eV per cell.